A plane-wave DFT calculation with PBE was carried out for KTlAs3 after structural relaxation.

Unit cell a=5.5897 b=5.5897 c=5.5897 alpha=90.00 beta=90.00 gamma=90.00
Last column: nearest neighbours and their distance in Å.
Space group Pm-3m (No. 221)
Asymmetric unit:
K 0.0000 0.0000 0.0000  6 As 2.79
Tl 0.5000 0.5000 0.5000  12 As 3.95
As 0.0000 0.0000 0.5000  2 K 2.79

Values from the calculation:
Theoretical density = 4.45 g/cm³
Polymorph energy (0 for the lowest one) = 633 meV/atom
DFT total energy = -11.24 eV per cell
Formation energy = 1.234 eV/atom
DOS(E_F) = 1.806 states/eV/atom